# TiNiH, relaxed, DFT PBE-GGA
# ρ: 5.6 g/cm³
# ΔE to the lowest computed polymorph: 0.2979 eV per atom
# density of states at the Fermi level: 4.42 states/eV per cell
data_TiNiH
_cell_length_a 2.7848
_cell_length_b 2.7848
_cell_length_c 8.2143
_cell_angle_alpha 90.00
_cell_angle_beta 90.00
_cell_angle_gamma 90.00
_space_group_name_H-M_alt 'I 4 m m'
_space_group_IT_number 107
_space_group_name_Hall 'I 4 -2'
loop_
_atom_site_label
_atom_site_fract_x
_atom_site_fract_y
_atom_site_fract_z
_atom_site_occupancy
Ti1 0.0000 0.0000 0.0000 1
Ni1 0.0000 0.0000 0.2827 1
H1 0.0000 0.0000 0.4940 1